Density functional theory data (PBE) for an optimized crystal structure of UPaH2O8.

Cell lengths 3.731, 5.420, 7.716 Å; angles 85.85, 82.93, 70.34 degrees
Sites, in units of the cell vectors:
U 0.000 0.000 0.000
Pa 0.000 0.000 0.500
H 0.026 0.574 0.753
H 0.974 0.426 0.247
O 0.019 0.241 0.736
O 0.033 0.757 0.745
O 0.376 0.229 0.568
O 0.493 0.767 0.018
O 0.507 0.233 0.982
O 0.624 0.771 0.432
O 0.967 0.243 0.255
O 0.981 0.759 0.264

Its density of states at the Fermi level is 3.52 states/eV/cell. The total DFT energy (no corrections) is -7.586 eV per atom. Its symmetry is P-1 (2).